An optimized crystal structure of AgSbO12. Source: Alexandria via LeMat-Bulk, functional PBE.

Cell: 7.634 7.634 7.236 Å, 90.00 90.00 90.00°
Fractional positions:
Ag 0.250 0.250 0.250
Ag 0.750 0.750 0.750
Sb 0.250 0.250 0.750
Sb 0.750 0.750 0.250
O 0.041 0.769 0.713
O 0.071 0.328 0.918
O 0.100 0.624 0.270
O 0.124 0.900 0.770
O 0.172 0.071 0.582
O 0.231 0.541 0.213
O 0.269 0.959 0.213
O 0.328 0.429 0.582
O 0.376 0.600 0.770
O 0.400 0.876 0.270
O 0.429 0.172 0.918
O 0.459 0.731 0.713
O 0.541 0.269 0.287
O 0.571 0.828 0.082
O 0.600 0.124 0.730
O 0.624 0.400 0.230
O 0.672 0.571 0.418
O 0.731 0.041 0.787
O 0.769 0.459 0.787
O 0.828 0.929 0.418
O 0.876 0.100 0.230
O 0.900 0.376 0.730
O 0.929 0.672 0.082
O 0.959 0.231 0.287

Summary:
Energy relative to the lowest polymorph listed for this composition: 0.0 meV per atom
Mass density: 3.32 Mg/m³
Total magnetization: 0.00 μB/f.u.
Symmetry: P4_2/n (86)
E: -0.17136 hartree per atom
Formation energy (no corrections): 0.085 eV/atom

An optimized crystal structure of RbMg2GaTe4. Source: Alexandria via LeMat-Bulk, functional PBE.

Cell: 8.507 8.507 15.617 Å, 90.00 90.00 151.30°
Fractional positions:
Rb 0.140 0.860 0.750
Rb 0.860 0.140 0.250
Mg 0.394 0.606 0.566
Mg 0.394 0.606 0.934
Mg 0.606 0.394 0.066
Mg 0.606 0.394 0.434
Ga 0.149 0.851 0.250
Ga 0.851 0.149 0.750
Te 0.000 0.000 0.000
Te 0.000 0.000 0.500
Te 0.227 0.773 0.104
Te 0.227 0.773 0.396
Te 0.456 0.544 0.750
Te 0.544 0.456 0.250
Te 0.773 0.227 0.604
Te 0.773 0.227 0.896

Summary:
Mass density: 4.37 Mg/m³
Total magnetization: 0.00 μB/f.u.
Symmetry: Cmcm (63)
E: -0.11635 hartree per atom
Formation energy (no corrections): -0.697 eV/atom

An optimized crystal structure of La5Se4N. Source: Alexandria via LeMat-Bulk, functional PBE.

Cell: 15.221 15.221 15.221 Å, 163.99 163.99 22.71°
Fractional positions:
La 0.000 0.000 0.000
La 0.202 0.202 0.000
La 0.418 0.418 0.000
La 0.582 0.582 0.000
La 0.798 0.798 0.000
Se 0.099 0.099 0.000
Se 0.306 0.306 0.000
Se 0.694 0.694 0.000
Se 0.901 0.901 0.000
N 0.500 0.500 0.000

Summary:
Mass density: 6.35 Mg/m³
Total magnetization: 0.00 μB/f.u.
Symmetry: I4/mmm (139)
E: -0.23837 hartree per atom
Formation energy (no corrections): -1.796 eV/atom

An optimized crystal structure of BeCoI2N. Source: Alexandria via LeMat-Bulk, functional PBE.

Cell: 5.322 5.322 3.497 Å, 90.00 90.00 90.00°
Fractional positions:
Be 0.000 0.000 0.000
Co 0.500 0.500 0.500
I 0.000 0.500 0.500
I 0.500 0.000 0.500
N 0.500 0.500 0.000

Summary:
Energy relative to the lowest polymorph listed for this composition: 0.0 meV per atom
Mass density: 5.63 Mg/m³
Total magnetization: 0.00 μB/f.u.
Symmetry: P4/mmm (123)
E: -0.13491 hartree per atom
Formation energy (no corrections): 0.780 eV/atom

An optimized crystal structure of KTl6Pd2. Source: Alexandria via LeMat-Bulk, functional PBE.

Cell: 9.608 9.608 9.608 Å, 60.00 60.00 60.00°
Fractional positions:
K 0.125 0.125 0.125
K 0.875 0.875 0.875
Tl 0.146 0.146 0.604
Tl 0.146 0.604 0.146
Tl 0.146 0.604 0.604
Tl 0.396 0.396 0.854
Tl 0.396 0.854 0.396
Tl 0.396 0.854 0.854
Tl 0.604 0.146 0.146
Tl 0.604 0.146 0.604
Tl 0.604 0.604 0.146
Tl 0.854 0.396 0.396
Tl 0.854 0.396 0.854
Tl 0.854 0.854 0.396
Pd 0.000 0.500 0.500
Pd 0.500 0.000 0.500
Pd 0.500 0.500 0.000
Pd 0.500 0.500 0.500

Summary:
Mass density: 7.83 Mg/m³
Total magnetization: 0.00 μB/f.u.
Symmetry: Fd-3m (227)
E: -0.10302 hartree per atom

An optimized crystal structure of RbPrS2. Source: Alexandria via LeMat-Bulk, functional PBE.

Cell: 8.109 8.109 8.109 Å, 30.44 30.44 30.44°
Fractional positions:
Rb 0.000 0.000 0.000
Pr 0.500 0.500 0.500
S 0.233 0.233 0.233
S 0.767 0.767 0.767

Summary:
Mass density: 3.98 Mg/m³
Total magnetization: 0.00 μB/f.u.
Symmetry: R-3m (166)
E: -0.19540 hartree per atom
Formation energy (no corrections): -1.817 eV/atom

An optimized crystal structure of LiTlSe. Source: Alexandria via LeMat-Bulk, functional PBE.

Cell: 6.389 6.389 6.389 Å, 146.50 146.50 48.10°
Fractional positions:
Li 0.000 0.000 0.000
Tl 0.238 0.238 0.000
Se 0.573 0.573 0.000

Summary:
Energy relative to the lowest polymorph listed for this composition: 225.3 meV per atom
Mass density: 6.09 Mg/m³
Total magnetization: 0.00 μB/f.u.
Symmetry: I4mm (107)
E: -0.11582 hartree per atom
Formation energy (no corrections): -0.563 eV/atom

An optimized crystal structure of Nd2Fe14B. Source: Alexandria via LeMat-Bulk, functional PBE.

Cell: 8.630 8.630 12.613 Å, 90.00 90.00 90.00°
Fractional positions:
Nd 0.196 0.196 0.000
Nd 0.234 0.766 0.000
Nd 0.266 0.266 0.500
Nd 0.304 0.696 0.500
Nd 0.696 0.304 0.500
Nd 0.734 0.734 0.500
Nd 0.766 0.234 0.000
Nd 0.804 0.804 0.000
Fe 0.000 0.000 0.094
Fe 0.000 0.000 0.906
Fe 0.000 0.500 0.000
Fe 0.000 0.500 0.500
Fe 0.023 0.642 0.177
Fe 0.023 0.642 0.823
Fe 0.029 0.744 0.383
Fe 0.029 0.744 0.617
Fe 0.101 0.899 0.239
Fe 0.101 0.899 0.761
Fe 0.142 0.477 0.323
Fe 0.142 0.477 0.677
Fe 0.197 0.197 0.249
Fe 0.197 0.197 0.751
Fe 0.244 0.471 0.117
Fe 0.244 0.471 0.883
Fe 0.256 0.971 0.383
Fe 0.256 0.971 0.617
Fe 0.303 0.697 0.251
Fe 0.303 0.697 0.749
Fe 0.358 0.977 0.177
Fe 0.358 0.977 0.823
Fe 0.399 0.399 0.261
Fe 0.399 0.399 0.739
Fe 0.471 0.244 0.117
Fe 0.471 0.244 0.883
Fe 0.477 0.142 0.323
Fe 0.477 0.142 0.677
Fe 0.500 0.000 0.000
Fe 0.500 0.000 0.500
Fe 0.500 0.500 0.406
Fe 0.500 0.500 0.594
Fe 0.523 0.858 0.323
Fe 0.523 0.858 0.677
Fe 0.529 0.756 0.117
Fe 0.529 0.756 0.883
Fe 0.601 0.601 0.261
Fe 0.601 0.601 0.739
Fe 0.642 0.023 0.177
Fe 0.642 0.023 0.823
Fe 0.697 0.303 0.251
Fe 0.697 0.303 0.749
Fe 0.744 0.029 0.383
Fe 0.744 0.029 0.617
Fe 0.756 0.529 0.117
Fe 0.756 0.529 0.883
Fe 0.803 0.803 0.249
Fe 0.803 0.803 0.751
Fe 0.858 0.523 0.323
Fe 0.858 0.523 0.677
Fe 0.899 0.101 0.239
Fe 0.899 0.101 0.761
Fe 0.971 0.256 0.383
Fe 0.971 0.256 0.617
Fe 0.977 0.358 0.177
Fe 0.977 0.358 0.823
B 0.072 0.928 0.500
B 0.428 0.428 0.000
B 0.572 0.572 0.000
B 0.928 0.072 0.500

Summary:
Energy relative to the lowest polymorph listed for this composition: 246.5 meV per atom
Mass density: 7.65 Mg/m³
Total magnetization: 32.13 μB/f.u.
Symmetry: P4_2/mnm (136)
E: -0.28422 hartree per atom

An optimized crystal structure of Dy2Er5TmZr. Source: Alexandria via LeMat-Bulk, functional PBE.

Cell: 10.491 10.491 9.921 Å, 90.00 90.00 149.91°
Fractional positions:
Dy 0.109 0.891 0.500
Dy 0.121 0.879 0.923
Dy 0.879 0.121 0.423
Dy 0.891 0.109 0.000
Er 0.016 0.984 0.202
Er 0.264 0.736 0.528
Er 0.301 0.699 0.889
Er 0.363 0.637 0.212
Er 0.483 0.517 0.927
Er 0.517 0.483 0.427
Er 0.637 0.363 0.712
Er 0.699 0.301 0.389
Er 0.736 0.264 0.028
Er 0.984 0.016 0.702
Tm 0.402 0.598 0.636
Tm 0.598 0.402 0.136
Zr 0.188 0.812 0.212
Zr 0.812 0.188 0.712

Summary:
Mass density: 8.62 Mg/m³
Total magnetization: 0.00 μB/f.u.
Symmetry: Cmc2_1 (36)
E: -0.17753 hartree per atom

An optimized crystal structure of Sc2TaCl. Source: Alexandria via LeMat-Bulk, functional PBE.

Cell: 3.154 3.206 8.450 Å, 90.00 90.00 90.00°
Fractional positions:
Sc 0.000 0.000 0.239
Sc 0.000 0.000 0.761
Ta 0.500 0.500 0.000
Cl 0.500 0.000 0.500

Summary:
Energy relative to the lowest polymorph listed for this composition: 0.0 meV per atom
Mass density: 5.95 Mg/m³
Total magnetization: 0.00 μB/f.u.
Symmetry: Pmmm (47)
E: -0.26069 hartree per atom
Formation energy (no corrections): -0.503 eV/atom

An optimized crystal structure of Ti4Ru5W. Source: Alexandria via LeMat-Bulk, functional PBE.

Cell: 3.048 3.048 15.805 Å, 90.00 90.00 90.00°
Fractional positions:
Ti 0.000 0.000 0.098
Ti 0.000 0.000 0.294
Ti 0.000 0.000 0.706
Ti 0.000 0.000 0.902
Ru 0.500 0.500 0.000
Ru 0.500 0.500 0.197
Ru 0.500 0.500 0.391
Ru 0.500 0.500 0.609
Ru 0.500 0.500 0.803
W 0.000 0.000 0.500

Summary:
Mass density: 9.96 Mg/m³
Total magnetization: 0.00 μB/f.u.
Symmetry: P4/mmm (123)
E: -0.35468 hartree per atom

An optimized crystal structure of KCa2Mn. Source: Alexandria via LeMat-Bulk, functional PBE.

Cell: 7.231 7.231 6.412 Å, 116.01 116.01 31.29°
Fractional positions:
K 0.000 0.000 0.000
Ca 0.201 0.201 0.701
Ca 0.799 0.799 0.299
Mn 0.500 0.500 0.500

Summary:
Energy relative to the lowest polymorph listed for this composition: 178.6 meV per atom
Mass density: 1.87 Mg/m³
Total magnetization: 3.77 μB/f.u.
Symmetry: C2/m (12)
E: -0.11224 hartree per atom

> What is the E in the fifth record?

-0.10302 hartree per atom